1.
A plane-wave DFT calculation with PBE-GGA was carried out for CaNiSb2 after structural relaxation.

a b c (Å): 5.106 5.106 5.106
angles (deg): 60.00 60.00 60.00
Fractional positions:
1 Ni 0.750 0.750 0.750
2 Sb 0.000 0.000 0.000
3 Sb 0.250 0.250 0.250
4 Ca 0.500 0.500 0.500

Results
Its raw total energy is -0.1465 hartree per atom.


2.
A plane-wave DFT calculation with PBE-GGA was carried out for Sm5MgZn3 after structural relaxation.

a b c (Å): 6.704 9.013 9.013
angles (deg): 120.00 90.00 90.00
Fractional positions:
1 Mg 0.500 0.000 0.000
2 Sm 0.750 0.314 0.000
3 Sm 0.750 0.000 0.314
4 Sm 0.500 0.333 0.667
5 Sm 0.750 0.686 0.686
6 Zn 0.750 0.000 0.653
7 Sm 0.500 0.667 0.333
8 Mg 0.000 0.000 0.000
9 Zn 0.750 0.653 0.000
10 Zn 0.250 0.347 0.000
11 Zn 0.250 0.653 0.653
12 Sm 0.250 0.314 0.314
13 Sm 0.250 0.686 0.000
14 Sm 0.000 0.333 0.667
15 Sm 0.250 0.000 0.686
16 Sm 0.000 0.667 0.333
17 Zn 0.750 0.347 0.347
18 Zn 0.250 0.000 0.347

Results
The calculation puts the formation enthalpy at 0 K at -0.163 eV/atom.


Results for mass density: 6.0, 6.8 (in g cm⁻³, following the order of the records).